The following is a DFT calculation (PBE) of a geometry-optimized PmH8Pd2Rh structure.

## Properties
DOS(E_F) = 0.042 states/eV/atom
Electronic total energy = -0.1592 hartree per atom

Geometry as POSCAR:
```
PmH8Pd2Rh
1.0
-1.939 2.346 3.313
-1.939 -3.144 2.566
3.124 -0.755 5.224
H Rh Pd Pm
8 1 2 1
Direct
0.121 0.682 0.224
0.360 0.342 0.538
0.879 0.318 0.776
0.223 0.219 0.044
0.314 0.874 0.780
0.640 0.658 0.462
0.777 0.781 0.956
0.686 0.126 0.220
0.000 0.000 0.000
0.470 0.470 0.755
0.530 0.530 0.245
0.000 0.000 0.500
```


The following is a DFT calculation (PBE) of a geometry-optimized InNiPt2 structure.

## Properties
DOS(E_F) = 0.714 states/eV/atom
Calculated formation energy = -0.213 eV per atom
Electronic total energy = -0.1971 hartree per atom

Geometry as POSCAR:
```
InNiPt2
1.0
4.759 -0.032 0.042
3.796 2.870 0.042
1.020 0.339 4.585
In Ni Pt
1 1 2
Direct
0.250 0.250 0.250
0.750 0.750 0.750
0.495 0.495 0.514
0.005 0.005 0.986
```


The following is a DFT calculation (PBE) of a geometry-optimized K3SrTl structure.

## Properties
DOS(E_F) = 0.858 states/eV/atom
Calculated formation energy = 0.176 eV per atom
Electronic total energy = -0.0475 hartree per atom

Geometry as POSCAR:
```
K3SrTl
1.0
6.810 0.000 0.000
0.000 6.810 0.000
0.000 0.000 6.810
K Tl Sr
3 1 1
Direct
0.000 0.000 0.500
0.500 0.000 0.000
0.000 0.500 0.000
0.000 0.000 0.000
0.500 0.500 0.500
```


The following is a DFT calculation (PBE) of a geometry-optimized Y2PtBr structure.

## Properties
DOS(E_F) = 0.772 states/eV/atom
Electronic total energy = -0.2288 hartree per atom

Geometry as POSCAR:
```
Y2PtBr
1.0
5.922 0.000 0.000
0.000 4.087 0.002
0.000 -0.002 4.086
Y Br Pt
2 1 1
Direct
0.500 0.375 0.375
0.000 0.875 0.875
0.000 0.375 0.375
0.500 0.875 0.875
```


The following is a DFT calculation (PBE) of a geometry-optimized MgSiSe structure.

## Properties
DOS(E_F) = 0.155 states/eV/atom
Electronic total energy = -0.1237 hartree per atom

Geometry as POSCAR:
```
MgSiSe
1.0
-1.168 2.817 -3.369
-4.350 1.190 -0.561
-1.335 4.240 0.943
Si Mg Se
1 1 1
Direct
0.500 0.500 0.500
0.750 0.750 0.750
0.000 0.000 0.000
```


The following is a DFT calculation (PBE) of a geometry-optimized Pu2RhAu structure.

## Properties
DOS(E_F) = 4.120 states/eV/atom
Calculated formation energy = -0.312 eV per atom
Electronic total energy = -0.3724 hartree per atom

Geometry as POSCAR:
```
Pu2RhAu
1.0
4.023 -0.002 -0.001
2.010 3.485 -0.001
2.010 1.160 7.115
Au Rh Pu
1 1 2
Direct
0.500 0.500 0.502
0.667 0.667 0.998
0.260 0.260 0.219
0.073 0.073 0.781
```


The following is a DFT calculation (PBE) of a geometry-optimized Ca4TlInHg2 structure.

## Properties
DOS(E_F) = 0.516 states/eV/atom
Calculated formation energy = -0.507 eV per atom
Electronic total energy = -0.0816 hartree per atom

Geometry as POSCAR:
```
Ca4TlInHg2
1.0
-3.640 -3.827 1.234
-0.887 -4.106 -3.430
4.815 -7.364 3.283
Hg Tl Ca In
2 1 4 1
Direct
0.751 0.751 0.747
0.249 0.249 0.253
0.000 0.000 0.000
0.125 0.125 0.625
0.375 0.375 0.875
0.875 0.875 0.375
0.625 0.625 0.125
0.500 0.500 0.500
```


The following is a DFT calculation (PBE) of a geometry-optimized BaCoSe2 structure.

## Properties
DOS(E_F) = 0.691 states/eV/atom
Electronic total energy = -0.1739 hartree per atom

Geometry as POSCAR:
```
BaCoSe2
1.0
-1.064 -2.212 -3.271
2.578 -2.833 -1.433
-2.226 -6.102 2.350
Se Ba Co
2 1 1
Direct
0.974 0.974 0.084
0.526 0.526 0.416
0.750 0.750 0.750
0.250 0.250 0.250
```


Among the records above, which one has the lowest DOS(E_F)? PmH8Pd2Rh


What is the formula in the sixth record? Pu2RhAu